Dy3Tl2In4, optimized geometry, DFT GGA-PBE; calculated formation energy = -0.27 eV/atom; mass density = 9.42 g/cm³; total magnetic moment = 0.00 μB per formula unit; symmetry = P-62m (189)
1.0
7.9238 0.0000 0.0000
-3.9619 6.8622 0.0000
0.0000 0.0000 4.3930
Dy Tl In
3 2 4
direct
0.0000 0.6046 0.0000
0.3954 0.3954 0.0000
0.6046 0.0000 0.0000
0.3333 0.6667 0.5000
0.6667 0.3333 0.5000
0.0000 0.0000 0.0000
0.0000 0.2594 0.5000
0.2594 0.0000 0.5000
0.7406 0.7406 0.5000